# 1
First-principles (GGA-PBEsol) data for a geometry-optimized CrAsRu2 structure, as listed in the Alexandria database.

Calculated values
Energy of formation (eV per atom): 0.11
Space group: Pmm2

POSCAR file:
```
CrAsRu2
1.0
2.831 0.000 0.000
0.000 3.697 0.000
0.000 0.000 5.131
As Ru Cr
1 2 1
Direct
0.000 0.000 0.479 As
0.000 0.000 0.959 Ru
0.500 0.500 0.287 Ru
0.500 0.500 0.775 Cr
```


# 2
First-principles (GGA-PBEsol) data for a geometry-optimized CdSb2PS structure, as listed in the Alexandria database.

Calculated values
Uncorrected formation energy (kJ/mol of formula units): 537.2
Space group: P4/mmm

POSCAR file:
```
CdSb2PS
1.0
4.601 0.000 0.000
0.000 5.488 0.000
0.000 0.000 5.488
Cd S Sb P
1 1 2 1
Direct
0.000 0.000 0.000 Cd
0.500 0.500 0.500 S
0.000 0.000 0.500 Sb
0.000 0.500 0.000 Sb
0.500 0.000 0.000 P
```


# 3
First-principles (GGA-PBEsol) data for a geometry-optimized Ni2TePb structure, as listed in the Alexandria database.

Calculated values
Uncorrected formation energy (kJ/mol of formula units): -6.9
Space group: R3m

POSCAR file:
```
Ni2TePb
1.0
3.907 0.000 0.000
1.953 3.383 0.000
1.953 1.128 6.063
Ni Pb Te
2 1 1
Direct
0.017 0.017 0.949 Ni
0.720 0.720 0.839 Ni
0.471 0.471 0.588 Pb
0.292 0.292 0.123 Te
```


# 4
First-principles (GGA-PBEsol) data for a geometry-optimized InPPt2 structure, as listed in the Alexandria database.

Calculated values
Energy of formation (eV per atom): -0.18
Space group: P4/mmm

POSCAR file:
```
InPPt2
1.0
-2.071 -2.303 -0.293
0.492 -0.052 -3.072
4.782 -4.407 0.841
In Pt P
1 2 1
Direct
0.500 0.500 0.000 In
0.000 0.000 0.716 Pt
0.000 0.000 0.284 Pt
0.500 0.500 0.500 P
```


# 5
First-principles (GGA-PBEsol) data for a geometry-optimized TlGa3O structure, as listed in the Alexandria database.

Calculated values
Uncorrected formation energy (kJ/mol of formula units): 480.5
Space group: Pm-3m

POSCAR file:
```
TlGa3O
1.0
-3.742 2.477 2.635
-3.085 -4.165 -0.465
1.887 -1.897 4.463
Ga Tl O
3 1 1
Direct
0.500 0.000 0.000 Ga
0.000 0.500 0.000 Ga
0.000 0.000 0.500 Ga
0.000 0.000 0.000 Tl
0.500 0.500 0.500 O
```


# 6
First-principles (GGA-PBEsol) data for a geometry-optimized YTaBe3 structure, as listed in the Alexandria database.

Calculated values
Energy of formation (eV per atom): 2.05
Space group: Pm-3m

POSCAR file:
```
YTaBe3
1.0
-3.113 1.457 2.635
-0.439 -3.969 1.677
2.979 0.938 3.000
Y Be Ta
1 3 1
Direct
0.000 0.000 0.000 Y
0.000 0.500 0.000 Be
0.000 0.000 0.500 Be
0.500 0.000 0.000 Be
0.500 0.500 0.500 Ta
```